# HfNiSn2 | OQMD | PBE | optimized geometry
data_HfNiSn2
_chemical_formula_sum 'Hf4 Ni4 Sn8'
_cell_length_a 6.887
_cell_length_b 6.887
_cell_length_c 6.887
_cell_angle_alpha 90.00
_cell_angle_beta 90.00
_cell_angle_gamma 90.00
_symmetry_space_group_name_H-M 'F -4 3 m'
_symmetry_Int_Tables_number 216
_symmetry_space_group_name_Hall 'F -4 2 3'
loop_
_atom_site_label
_atom_site_type_symbol
_atom_site_fract_x
_atom_site_fract_y
_atom_site_fract_z
Hf1 Hf 0.000 0.000 0.000
Ni1 Ni 0.250 0.250 0.250
Sn1 Sn 0.000 0.000 0.500
Sn2 Sn 0.250 0.250 0.750
# crystal system = cubic
# raw total energy = -91.10 eV per cell